Entry from Alexandria: CaThZnPb after structural relaxation (GGA-PBE). Values from VASP.

Structure (Quantum ESPRESSO input):
```
&SYSTEM
  ibrav = 0, nat = 4, ntyp = 4
/
ATOMIC_SPECIES
Pb 207.20 Pb.upf
Zn 65.41 Zn.upf
Ca 40.08 Ca.upf
Th 232.04 Th.upf
CELL_PARAMETERS angstrom
5.387 0.000 0.000
2.694 4.666 0.000
2.694 1.555 4.399
ATOMIC_POSITIONS angstrom
Pb 5.387 3.110 2.199
Zn 0.000 0.000 0.000
Ca 2.694 1.555 1.100
Th 8.081 4.666 3.299
```

Results
E_form ... -207 meV per atom
Mass density ... 8.2 g/cm³
M_tot ... 0.0 μB per formula unit
Raw total energy ... -3.808 eV/atom

Entry from Alexandria: CaTi2Pb2 after structural relaxation (GGA-PBE). Values from VASP.

Structure (Quantum ESPRESSO input):
```
&SYSTEM
  ibrav = 0, nat = 5, ntyp = 3
/
ATOMIC_SPECIES
Pb 207.20 Pb.upf
Ca 40.08 Ca.upf
Ti 47.87 Ti.upf
CELL_PARAMETERS angstrom
-0.517 3.511 -2.446
-0.704 -2.500 -3.440
-7.302 0.485 -1.559
ATOMIC_POSITIONS angstrom
Pb -2.095 0.501 -2.636
Pb -6.428 0.995 -4.809
Ca 0.000 0.000 0.000
Ti -4.215 2.251 -3.474
Ti -4.308 -0.755 -3.971
```

Results
E_form ... -32 meV per atom
Mass density ... 7.2 g/cm³
M_tot ... 2.6 μB per formula unit
Raw total energy ... -5.074 eV/atom